Below is an optimized crystal structure of GaBiPt3, with properties calculated at the PBE level.

As for the polymorph energy (0 for the lowest one): 0.00 kcal/mol of atoms. The formation energy comes out at 0.899 eV/f.u. For the density, the calculation gives 13.76 Mg/m³.

The space group is Pm-3m (No. 221) and the conventional cell measures 4.707, 4.707 and 4.707 Å, with angles of 90.00, 90.00 and 90.00 degrees. The inequivalent atoms are Ga at (0.000, 0.000, 0.000), Bi at (0.500, 0.500, 0.500) and Pt at (0.000, 0.000, 0.500).